# 1
The following is a DFT calculation (PBE+U) of a relaxed structure of V2Fe3SnP6O24.

```
V2Fe3SnP6O24
1.0
8.578 0.010 0.007
4.186 7.488 0.007
4.186 2.459 7.072
V O P Fe Sn
2 24 6 3 1
Direct
0.997 0.997 0.997
0.501 0.501 0.501
0.497 0.892 0.679
0.256 0.059 0.907
0.396 0.985 0.184
0.754 0.410 0.564
0.500 0.110 0.318
0.246 0.591 0.440
0.985 0.184 0.396
0.591 0.440 0.246
0.892 0.679 0.497
0.907 0.256 0.059
0.059 0.907 0.256
0.820 0.609 0.004
0.609 0.004 0.820
0.679 0.497 0.892
0.092 0.745 0.939
0.110 0.318 0.500
0.939 0.092 0.745
0.440 0.246 0.591
0.004 0.820 0.609
0.410 0.564 0.754
0.318 0.500 0.110
0.564 0.754 0.410
0.184 0.396 0.985
0.745 0.939 0.092
0.458 0.046 0.746
0.746 0.458 0.046
0.046 0.746 0.458
0.549 0.952 0.252
0.252 0.549 0.952
0.952 0.252 0.549
0.646 0.646 0.646
0.854 0.854 0.854
0.355 0.355 0.355
0.145 0.145 0.145
```

Calculated values
Uncorrected energy ... -259.26 eV for the cell shown
Crystal system ... trigonal
SG ... R3 (146)
Density of states at the Fermi level ... 12.37 states/eV per cell
Calculated volume ... 12.60 Å³/atom

***

# 2
The following is a DFT calculation (PBE+U) of a relaxed structure of SrFePO2.

```
SrFePO2
1.0
-3.747 0.783 1.493
-0.369 -3.931 1.135
1.846 1.010 4.100
Fe O P Sr
1 2 1 1
Direct
0.000 0.000 0.000
0.000 0.500 0.000
0.500 0.000 0.000
0.000 0.000 0.500
0.500 0.500 0.500
```

Calculated values
Uncorrected energy ... -26.89 eV for the cell shown
Crystal system ... tetragonal
SG ... P4/mmm (123)
Density of states at the Fermi level ... 3.25 states/eV per cell
Calculated volume ... 15.56 Å³/atom

***

# 3
The following is a DFT calculation (PBE+U) of a relaxed structure of Sr2FePO.

```
Sr2FePO
1.0
-5.163 2.236 0.999
-1.646 -2.423 -3.084
-1.052 -4.130 3.806
Fe Sr P O
1 2 1 1
Direct
0.000 0.500 0.000
0.500 0.000 0.000
0.000 0.000 0.500
0.000 0.000 0.000
0.500 0.500 0.500
```

Calculated values
Uncorrected energy ... -20.85 eV for the cell shown
Crystal system ... tetragonal
SG ... P4/mmm (123)
Density of states at the Fermi level ... 1.38 states/eV per cell
Calculated volume ... 27.78 Å³/atom

***

# 4
The following is a DFT calculation (PBE+U) of a relaxed structure of SrFeP2O7.

```
SrFeP2O7
1.0
5.426 0.000 0.009
0.000 8.398 0.000
-0.027 0.000 12.942
P Sr O Fe
8 4 28 4
Direct
0.809 0.202 0.021
0.248 0.535 0.832
0.191 0.798 0.979
0.752 0.465 0.168
0.252 0.035 0.668
0.309 0.298 0.521
0.691 0.702 0.479
0.748 0.965 0.332
0.714 0.834 0.777
0.214 0.666 0.277
0.286 0.166 0.223
0.786 0.334 0.723
0.048 0.617 0.766
0.548 0.883 0.266
0.704 0.192 0.911
0.296 0.808 0.089
0.176 0.361 0.847
0.912 0.829 0.970
0.952 0.383 0.234
0.588 0.329 0.530
0.324 0.861 0.653
0.838 0.598 0.402
0.759 0.386 0.054
0.796 0.692 0.589
0.507 0.558 0.789
0.204 0.308 0.411
0.676 0.139 0.347
0.259 0.114 0.554
0.741 0.886 0.446
0.338 0.902 0.902
0.162 0.402 0.598
0.412 0.671 0.470
0.088 0.171 0.030
0.493 0.442 0.211
0.824 0.639 0.153
0.662 0.098 0.098
0.241 0.614 0.946
0.007 0.942 0.289
0.993 0.058 0.711
0.452 0.117 0.734
0.682 0.850 0.105
0.318 0.150 0.895
0.182 0.650 0.605
0.818 0.350 0.395
```

Calculated values
Uncorrected energy ... -318.05 eV for the cell shown
Crystal system ... monoclinic
SG ... P2_1/c (14)
Density of states at the Fermi level ... 0.00 states/eV per cell
Calculated volume ... 13.40 Å³/atom

***

# 5
The following is a DFT calculation (PBE+U) of a relaxed structure of SrFe3P3O13.

```
SrFe3P3O13
1.0
-5.004 -3.493 -2.051
4.697 -4.016 -4.620
2.695 -7.700 6.538
Sr O P Fe
2 26 6 6
Direct
0.250 0.336 0.700
0.750 0.664 0.300
0.750 0.658 0.885
0.750 0.877 0.589
0.250 0.919 0.633
0.250 0.342 0.115
0.440 0.247 0.925
0.447 0.792 0.407
0.250 0.123 0.411
0.553 0.208 0.593
0.750 0.978 0.908
0.750 0.081 0.367
0.053 0.792 0.407
0.750 0.503 0.542
0.250 0.022 0.092
0.750 0.350 0.760
0.060 0.247 0.925
0.561 0.369 0.288
0.750 0.204 0.128
0.250 0.497 0.458
0.947 0.208 0.593
0.061 0.631 0.712
0.940 0.753 0.075
0.439 0.631 0.712
0.939 0.369 0.288
0.250 0.650 0.240
0.560 0.753 0.075
0.250 0.796 0.872
0.250 0.688 0.383
0.750 0.312 0.617
0.250 0.745 0.737
0.750 0.786 0.981
0.750 0.255 0.263
0.250 0.214 0.019
0.000 0.000 0.500
0.250 0.350 0.302
0.500 0.000 0.500
0.750 0.650 0.698
0.250 0.788 0.059
0.750 0.212 0.941
```

Calculated values
Uncorrected energy ... -284.18 eV for the cell shown
Crystal system ... monoclinic
SG ... P2_1/m (11)
Density of states at the Fermi level ... 0.00 states/eV per cell
Calculated volume ... 12.81 Å³/atom

***

# 6
The following is a DFT calculation (PBE+U) of a relaxed structure of Sr2FePO.

```
Sr2FePO
1.0
5.583 0.000 0.000
0.000 4.111 0.000
0.000 0.000 5.583
Sr P Fe O
2 1 1 1
Direct
0.000 0.000 0.500
0.500 0.000 0.000
0.000 0.500 0.000
0.000 0.000 0.000
0.500 0.500 0.500
```

Calculated values
Uncorrected energy ... -19.24 eV for the cell shown
Crystal system ... tetragonal
SG ... P4/mmm (123)
Density of states at the Fermi level ... 3.99 states/eV per cell
Calculated volume ... 25.63 Å³/atom

***

# 7
The following is a DFT calculation (PBE+U) of a relaxed structure of SrFe3P3O12.

```
SrFe3P3O12
1.0
9.234 -0.002 -0.003
0.796 9.200 0.003
-3.169 -6.613 5.613
O Fe P Sr
24 6 6 2
Direct
0.158 0.118 0.961
0.346 0.704 0.778
0.573 0.932 0.778
0.639 0.297 0.935
0.361 0.703 0.065
0.862 0.204 0.065
0.846 0.068 0.641
0.138 0.796 0.935
0.634 0.509 0.642
0.861 0.796 0.658
0.638 0.703 0.342
0.154 0.932 0.359
0.362 0.297 0.658
0.073 0.296 0.641
0.342 0.303 0.961
0.139 0.204 0.342
0.927 0.704 0.359
0.842 0.882 0.039
0.654 0.296 0.222
0.366 0.491 0.358
0.866 0.509 0.875
0.658 0.697 0.039
0.427 0.068 0.222
0.134 0.491 0.125
0.500 0.500 0.000
0.618 0.618 0.500
0.882 0.382 0.000
0.000 0.000 0.000
0.118 0.618 0.000
0.382 0.382 0.500
0.824 0.824 0.500
0.750 0.654 0.904
0.250 0.346 0.096
0.676 0.176 0.000
0.176 0.176 0.500
0.324 0.824 0.000
0.250 0.852 0.602
0.750 0.148 0.398
```

Calculated values
Uncorrected energy ... -272.52 eV for the cell shown
Crystal system ... orthorhombic
SG ... Imma (74)
Calculated volume ... 12.55 Å³/atom

***

# 8
The following is a DFT calculation (PBE+U) of a relaxed structure of SrFePO2.

```
SrFePO2
1.0
-1.868 0.369 3.985
-2.679 -3.382 -0.942
4.165 -3.944 2.318
O Sr Fe P
2 1 1 1
Direct
0.000 0.500 0.000
0.500 0.000 0.000
0.000 0.000 0.000
0.500 0.500 0.500
0.000 0.000 0.500
```

Calculated values
Uncorrected energy ... -21.07 eV for the cell shown
Crystal system ... tetragonal
SG ... P4/mmm (123)
Density of states at the Fermi level ... 3.75 states/eV per cell
Calculated volume ... 24.13 Å³/atom

***

| no. | ρ (g cm⁻³) |
| --- | --- |
| 1 | 3.51 |
| 2 | 4.41 |
| 3 | 3.32 |
| 4 | 3.58 |
| 5 | 3.61 |
| 6 | 3.60 |
| 7 | 3.76 |
| 8 | 2.84 |